# 1
Dy2TcPb | PBE | optimized geometry

Unit cell a=3.5664 b=3.5664 c=7.6421 alpha=90.00 beta=90.00 gamma=90.00
Closest atoms and distances in Å follow each position.
Space group P4/mmm (No. 123)
Asymmetric unit:
Dy  0.0000  0.0000  0.2102  4 Tc 2.99, 1 Dy 3.21
Tc  0.5000  0.5000  0.0000  8 Dy 2.99
Pb  0.5000  0.5000  0.5000  8 Dy 3.36, 4 Pb 3.57

The calculation puts the formation energy at -5.1 kcal/mol of atoms. The value obtained for the total energy is -6.0401 eV/atom. The density is 10.766 g cm⁻³.

---

# 2
Mn4GeW | PBE | optimized geometry

Unit cell a=6.6912 b=6.6912 c=6.6912 alpha=90.00 beta=90.00 gamma=90.00
Closest atoms and distances in Å follow each position.
Space group F-43m (No. 216)
Asymmetric unit:
Mn  0.1245  0.1245  0.1245  6 Mn 2.36-2.37
Ge  0.2500  0.2500  0.7500  12 Mn 2.77, 4 W 2.90
W  0.0000  0.0000  0.5000  12 Mn 2.77, 4 Ge 2.90

The calculation puts the formation energy at 2.8 kcal/mol of atoms. The value obtained for the total energy is -8.9213 eV/atom. The density is 10.559 g cm⁻³.

---

# 3
CeSm2Sb | PBE | optimized geometry

Unit cell a=4.0097 b=4.0097 c=7.3193 alpha=90.00 beta=90.00 gamma=90.00
Closest atoms and distances in Å follow each position.
Space group P4/mmm (No. 123)
Asymmetric unit:
Ce  0.0000  0.0000  0.0000  8 Sm 3.48, 2 Sb 3.66
Sm  0.5000  0.5000  0.2764  1 Sm 3.27, 4 Sb 3.27, 4 Ce 3.48
Sb  0.0000  0.0000  0.5000  8 Sm 3.27, 2 Ce 3.66

For the excess energy over the best structure of this formula in the dataset, the calculation gives 5.30 kJ per mole of atoms. Its uncorrected formation energy is -456.8 meV/atom. The value obtained for the total energy is -5.3305 eV/atom. The density is 7.939 g cm⁻³.

---

# 4
Tb5PrTl8 | PBE | optimized geometry

Unit cell a=9.2924 b=9.2924 c=9.4626 alpha=90.00 beta=90.00 gamma=90.00
Closest atoms and distances in Å follow each position.
Space group I-4 (No. 82)
Asymmetric unit:
Tb  0.0000  0.0000  0.0000  8 Tl 3.23-3.25
Tb  0.1306  0.7508  0.6202  8 Tl 3.19-3.24
Pr  0.0000  0.5000  0.2500  8 Tl 3.27-3.35
Tl  0.0829  0.8392  0.2937  5 Tb 3.20-3.25, 1 Pr 3.27, 2 Tl 3.36-3.42
Tl  0.0838  0.6674  0.9478  5 Tb 3.19-3.24, 1 Pr 3.35, 2 Tl 3.42-3.48

The calculation puts the formation energy at -6.0 kcal/mol of atoms. The value obtained for the total energy is -3.6070 eV/atom. The density is 10.448 g cm⁻³.

---

# 5
SrCa2LaRh | PBE | optimized geometry

Unit cell a=5.8138 b=5.8138 c=5.4898 alpha=90.00 beta=90.00 gamma=90.00
Closest atoms and distances in Å follow each position.
Space group P4/mmm (No. 123)
Asymmetric unit:
Sr  0.0000  0.0000  0.0000  8 Ca 4.00, 4 La 4.11
Ca  0.0000  0.5000  0.5000  2 Rh 2.91
La  0.5000  0.5000  0.0000  2 Rh 2.74
Rh  0.5000  0.5000  0.5000  2 La 2.74, 4 Ca 2.91

For the excess energy over the best structure of this formula in the dataset, the calculation gives 0.00 kJ per mole of atoms. The calculation puts the formation energy at -6.8 kcal/mol of atoms. The value obtained for the total energy is -3.8872 eV/atom. The density is 3.665 g cm⁻³.

---

# 6
UPa3Se6 | PBE | optimized geometry

Unit cell a=11.0313 b=13.6484 c=7.0840 alpha=90.00 beta=90.00 gamma=90.00
Closest atoms and distances in Å follow each position.
Space group Cmc2_1 (No. 36)
Asymmetric unit:
U  0.0000  0.1642  0.0000  5 Se 2.83-2.88
Pa  0.0000  0.4059  0.6315  7 Se 2.90-2.93
Pa  0.1730  0.1011  0.5184  7 Se 2.92-2.97
Se  0.0000  0.0015  0.2600  2 U 2.83-2.88, 4 Pa 2.92-2.97
Se  0.0000  0.2431  0.3696  1 U 2.83, 3 Pa 2.90-2.92
Se  0.1664  0.4615  0.3294  4 Pa 2.92-2.95
Se  0.1787  0.2692  0.7851  1 U 2.87, 3 Pa 2.92-2.97

For the excess energy over the best structure of this formula in the dataset, the calculation gives 7.53 kJ per mole of atoms. Its uncorrected formation energy is -1142.6 meV/atom. The value obtained for the total energy is -7.2109 eV/atom. The density is 8.749 g cm⁻³.

---

# 7
ScZn3Hg | PBE | optimized geometry

Unit cell a=4.8962 b=4.8962 c=4.8962 alpha=90.00 beta=90.00 gamma=90.00
Closest atoms and distances in Å follow each position.
Space group Pm-3m (No. 221)
Asymmetric unit:
Sc  0.0000  0.0000  0.0000  12 Zn 3.46
Zn  0.0000  0.5000  0.5000  2 Hg 2.45
Hg  0.5000  0.5000  0.5000  6 Zn 2.45

For the excess energy over the best structure of this formula in the dataset, the calculation gives 54.39 kJ per mole of atoms. The calculation puts the formation energy at 10.9 kcal/mol of atoms. The value obtained for the total energy is -1.6205 eV/atom. The density is 6.250 g cm⁻³.

---

# 8
Pr8Dy4Er3 | PBE | optimized geometry

Unit cell a=7.0519 b=7.0519 c=35.9614 alpha=90.00 beta=90.00 gamma=120.00
Closest atoms and distances in Å follow each position.
Space group R-3m (No. 166, hexagonal axes)
Asymmetric unit:
Pr  0.0000  0.0000  0.2455  1 Dy 3.24, 3 Er 3.49, 6 Pr 3.53
Pr  0.0014  0.5007  0.7505  6 Pr 3.51-3.54, 3 Dy 3.58-3.63, 2 Er 3.61
Dy  0.0000  0.0000  0.0000  6 Pr 3.63
Dy  0.0000  0.0000  0.3355  4 Pr 3.24-3.58
Dy  0.0000  0.0000  0.5000  6 Er 3.53, 6 Pr 3.61
Er  0.0000  0.5000  0.5000  6 Pr 3.49-3.61, 2 Dy 3.53, 4 Er 3.53

For the excess energy over the best structure of this formula in the dataset, the calculation gives 0.00 kJ per mole of atoms. The calculation puts the formation energy at 3.6 kcal/mol of atoms. The value obtained for the total energy is -4.5321 eV/atom. The density is 7.331 g cm⁻³.

---

# 9
ErBeSi2Pd | PBE | optimized geometry

Unit cell a=3.9187 b=3.9187 c=10.2096 alpha=90.00 beta=90.00 gamma=90.00
Closest atoms and distances in Å follow each position.
Space group I-4m2 (No. 119)
Asymmetric unit:
Er  0.0000  0.0000  0.0000  8 Si 3.01, 4 Pd 3.22, 4 Be 3.22
Be  0.0000  0.5000  0.2500  4 Si 2.40
Si  0.0000  0.0000  0.3855  1 Si 2.34, 2 Be 2.40, 2 Pd 2.40
Pd  0.0000  0.5000  0.7500  4 Si 2.40

Its uncorrected formation energy is -710.5 meV/atom. The value obtained for the total energy is -5.5761 eV/atom. The density is 7.178 g cm⁻³.

---

# 10
CeEuIrPd | PBE | optimized geometry

Unit cell a=7.0711 b=7.0711 c=7.0711 alpha=90.00 beta=90.00 gamma=90.00
Closest atoms and distances in Å follow each position.
Space group F-43m (No. 216)
Asymmetric unit:
Ce  0.0000  0.0000  0.0000  4 Pd 3.06, 4 Ir 3.06
Eu  0.0000  0.0000  0.5000  4 Ir 3.06, 4 Pd 3.06
Ir  0.2500  0.2500  0.7500  4 Ce 3.06, 4 Eu 3.06
Pd  0.2500  0.2500  0.2500  4 Eu 3.06, 4 Ce 3.06

The calculation puts the formation energy at -13.8 kcal/mol of atoms. The value obtained for the total energy is -8.1642 eV/atom. The density is 11.098 g cm⁻³.

---

# 11
ZnSnIrPd | PBE | optimized geometry

Unit cell a=4.2191 b=4.2191 c=7.1982 alpha=90.00 beta=90.00 gamma=90.00
Closest atoms and distances in Å follow each position.
Space group I-4m2 (No. 119)
Asymmetric unit:
Zn  0.0000  0.0000  0.0000  4 Ir 2.77, 4 Pd 2.77, 4 Sn 2.98
Sn  0.0000  0.0000  0.5000  4 Pd 2.77, 4 Ir 2.77, 4 Zn 2.98
Ir  0.0000  0.5000  0.7500  4 Sn 2.77, 4 Zn 2.77, 4 Pd 2.98
Pd  0.0000  0.5000  0.2500  4 Sn 2.77, 4 Zn 2.77, 4 Ir 2.98

The calculation puts the formation energy at -7.0 kcal/mol of atoms. The value obtained for the total energy is -5.1363 eV/atom. The density is 12.512 g cm⁻³.

---

# 12
NdZn3Ni | PBE | optimized geometry

Unit cell a=6.2646 b=6.2646 c=5.3009 alpha=90.00 beta=90.00 gamma=120.00
Closest atoms and distances in Å follow each position.
Space group P6_3/mmc (No. 194)
Asymmetric unit:
Nd  0.3333  0.6667  0.2500  12 Zn 3.08-3.14
Zn  0.1882  0.3764  0.7500  2 Ni 2.43
Ni  0.0000  0.0000  0.0000  6 Zn 2.43, 2 Ni 2.65

For the excess energy over the best structure of this formula in the dataset, the calculation gives 0.00 kJ per mole of atoms. The calculation puts the formation energy at -6.8 kcal/mol of atoms. The value obtained for the total energy is -3.1704 eV/atom. The density is 7.358 g cm⁻³.